DFT (PBE) results for Al2PBr after structural relaxation.

The density comes out at 3.11 Mg/m³. The calculation puts the polymorph energy (0 for the lowest one) at 507 meV per atom. The raw formation energy comes out at 0.244 eV/atom. The total energy is -3.3980 eV/atom.

The structure belongs to space group I-4m2 (No. 119); the cell edges are 3.705, 3.705 and 12.814 Å and the angles 90.00°, 90.00° and 90.00°. The distinct sites, in fractional coordinates, are Al at (0.000, 0.000, 0.000), Al at (0.000, 0.500, 0.250), P at (0.000, 0.000, 0.500) and Br at (0.000, 0.500, 0.750).

***

DFT (PBE) results for Th4HgTeSe2 after structural relaxation.

The density comes out at 10.08 Mg/m³. The raw formation energy comes out at -1.051 eV/atom. The total energy is -6.0627 eV/atom.

The structure belongs to space group Fmm2 (No. 42); the cell edges are 8.683, 12.361 and 8.679 Å and the angles 90.00°, 90.00° and 90.00°. The distinct sites, in fractional coordinates, are Th at (0.000, 0.249, 0.000), Th at (0.250, 0.000, 0.250), Hg at (0.000, 0.000, 0.999), Te at (0.000, 0.000, 0.500) and Se at (0.250, 0.250, 0.250).

***

DFT (PBE) results for Th3Sc2Pb4 after structural relaxation.

The density comes out at 10.04 Mg/m³. The formation energy comes out at -25 kJ per mole of atoms. The total energy is -5.7856 eV/atom.

The structure belongs to space group C2/m (No. 12); the cell edges are 13.799, 5.007 and 9.834 Å and the angles 90.00°, 128.20° and 90.00°. The distinct sites, in fractional coordinates, are Th at (0.000, 0.000, 0.000), Th at (0.151, 0.500, 0.711), Sc at (0.145, 0.500, 0.339), Pb at (0.069, 0.000, 0.410) and Pb at (0.165, 0.500, 0.049).